## ZnCrCu (GGA-PBEsol)

Data for a geometry-optimized ZnCrCu structure.

a = 4.1867 Å, b = 4.1867 Å, c = 2.4323 Å
α = 90.00°, β = 90.00°, γ = 120.00°
Positions (direct):
Zn 0.0000 0.0000 0.0000
Cr 0.3333 0.6667 0.5000
Cu 0.6667 0.3333 0.0000

Results
E_form	80	kJ/mol of formula units
magnetization	2.15	μB/f.u.
mass density	8138	kg/m³
E	-15.32	eV per cell

---

## ZrCr2Cu (GGA-PBEsol)

Data for a geometry-optimized ZrCr2Cu structure.

a = 4.2902 Å, b = 4.2902 Å, c = 4.2902 Å
α = 60.00°, β = 60.00°, γ = 60.00°
Positions (direct):
Zr 0.0000 0.0000 0.0000
Cr 0.2500 0.2500 0.2500
Cr 0.7500 0.7500 0.7500
Cu 0.5000 0.5000 0.5000

Results
E_form	197	kJ/mol of formula units
magnetization	3.40	μB/f.u.
mass density	7695	kg/m³
E	-31.86	eV per cell

---

## ZrCrCu2 (GGA-PBEsol)

Data for a geometry-optimized ZrCrCu2 structure.

a = 4.7844 Å, b = 4.7844 Å, c = 4.7844 Å
α = 133.01°, β = 133.01°, γ = 68.64°
Positions (direct):
Zr 0.0000 0.0000 0.0000
Cr 0.7500 0.2500 0.5000
Cu 0.2500 0.7500 0.5000
Cu 0.5000 0.5000 0.0000

Results
E_form	74	kJ/mol of formula units
magnetization	2.75	μB/f.u.
mass density	7805	kg/m³
E	-27.23	eV per cell

---

## ZrCr2Cu (GGA-PBEsol)

Data for a geometry-optimized ZrCr2Cu structure.

a = 2.6585 Å, b = 3.8375 Å, c = 5.5401 Å
α = 90.00°, β = 100.99°, γ = 90.00°
Positions (direct):
Zr 0.0000 0.0000 0.0000
Cr 0.5466 0.5000 0.2958
Cr 0.8707 0.0000 0.4732
Cu 0.3987 0.5000 0.7183

Results
E_form	102	kJ/mol of formula units
magnetization	0.00	μB/f.u.
mass density	7744	kg/m³
E	-32.85	eV per cell

---

## ZrCrCu2 (GGA-PBEsol)

Data for a geometry-optimized ZrCrCu2 structure.

a = 2.7713 Å, b = 3.7638 Å, c = 5.4571 Å
α = 90.00°, β = 90.00°, γ = 90.00°
Positions (direct):
Zr 0.0000 0.0000 0.0000
Cr 0.0000 0.0000 0.5000
Cu 0.5000 0.5000 0.2776
Cu 0.5000 0.5000 0.7224

Results
E_form	82	kJ/mol of formula units
magnetization	2.46	μB/f.u.
mass density	7886	kg/m³
E	-27.15	eV per cell

---

## ZrCr2Cu (GGA-PBEsol)

Data for a geometry-optimized ZrCr2Cu structure.

a = 9.4144 Å, b = 9.4144 Å, c = 9.4144 Å
α = 15.98°, β = 15.98°, γ = 15.98°
Positions (direct):
Zr 0.0000 0.0000 0.0000
Cr 0.2416 0.2416 0.2416
Cr 0.7584 0.7584 0.7584
Cu 0.5000 0.5000 0.5000

Results
E_form	253	kJ/mol of formula units
magnetization	0.00	μB/f.u.
mass density	7796	kg/m³
E	-31.29	eV per cell

---

## ZrCrCu2 (GGA-PBEsol)

Data for a geometry-optimized ZrCrCu2 structure.

a = 4.3827 Å, b = 4.3827 Å, c = 4.3827 Å
α = 60.00°, β = 60.00°, γ = 60.00°
Positions (direct):
Zr 0.0000 0.0000 0.0000
Cr 0.5000 0.5000 0.5000
Cu 0.2500 0.2500 0.2500
Cu 0.7500 0.7500 0.7500

Results
E_form	66	kJ/mol of formula units
magnetization	3.96	μB/f.u.
mass density	7540	kg/m³
E	-27.32	eV per cell

---

## ZrCrCu2 (GGA-PBEsol)

Data for a geometry-optimized ZrCrCu2 structure.

a = 2.7186 Å, b = 2.7186 Å, c = 7.4178 Å
α = 90.00°, β = 90.00°, γ = 90.00°
Positions (direct):
Zr 0.0000 0.0000 0.0000
Cr 0.0000 0.0000 0.5000
Cu 0.5000 0.5000 0.2808
Cu 0.5000 0.5000 0.7192

Results
E_form	107	kJ/mol of formula units
magnetization	0.01	μB/f.u.
mass density	8188	kg/m³
E	-26.89	eV per cell